# 1
! PBE NdSbPt3, optimized geometry; values from VASP
! Formation energy from raw total energies ... 0 meV per atom
! D(E_F) ... 3.3 states/eV/f.u.
&SYSTEM
  ibrav = 0, nat = 5, ntyp = 3
/
ATOMIC_SPECIES
Nd 144.24 Nd.upf
Sb 121.76 Sb.upf
Pt 195.08 Pt.upf
ATOMIC_POSITIONS crystal
Nd 0.109 0.109 0.109
Sb 0.703 0.703 0.703
Pt 0.686 0.314 0.314
Pt 0.314 0.686 0.314
Pt 0.314 0.314 0.686
CELL_PARAMETERS angstrom
-4.033 -3.050 0.147
3.514 -3.632 0.240
0.032 1.197 4.915

---

# 2
! PBE Nd3Sb2Pt7, optimized geometry; values from VASP
! Formation energy from raw total energies ... -775 meV per atom
! D(E_F) ... 6.9 states/eV/f.u.
&SYSTEM
  ibrav = 0, nat = 12, ntyp = 3
/
ATOMIC_SPECIES
Nd 144.24 Nd.upf
Sb 121.76 Sb.upf
Pt 195.08 Pt.upf
ATOMIC_POSITIONS crystal
Nd 0.322 0.322 0.643
Nd 0.678 0.678 0.357
Nd 0.500 0.500 0.000
Sb 0.129 0.129 0.258
Sb 0.871 0.871 0.742
Pt 0.000 0.000 0.000
Pt 0.926 0.426 0.852
Pt 0.426 0.926 0.852
Pt 0.074 0.574 0.148
Pt 0.574 0.074 0.148
Pt 0.221 0.221 0.442
Pt 0.779 0.779 0.558
CELL_PARAMETERS angstrom
-1.009 -2.370 -3.316
3.909 -1.530 -0.095
-5.442 -8.800 10.605

---

# 3
! PBE NdSbPt2, optimized geometry; values from VASP
! Formation energy from raw total energies ... -912 meV per atom
! D(E_F) ... 1.7 states/eV/f.u.
&SYSTEM
  ibrav = 0, nat = 8, ntyp = 3
/
ATOMIC_SPECIES
Nd 144.24 Nd.upf
Sb 121.76 Sb.upf
Pt 195.08 Pt.upf
ATOMIC_POSITIONS crystal
Nd 0.945 0.890 0.250
Nd 0.055 0.110 0.750
Sb 0.229 0.458 0.250
Sb 0.771 0.542 0.750
Pt 0.377 0.754 0.945
Pt 0.623 0.246 0.055
Pt 0.623 0.246 0.445
Pt 0.377 0.754 0.555
CELL_PARAMETERS angstrom
-3.644 -2.076 -0.777
4.549 -3.859 0.684
-1.323 -0.311 7.040

---

# 4
! PBE NdSb2Pt5, optimized geometry; values from VASP
! Formation energy from raw total energies ... -556 meV per atom
! D(E_F) ... 4.9 states/eV/f.u.
&SYSTEM
  ibrav = 0, nat = 8, ntyp = 3
/
ATOMIC_SPECIES
Nd 144.24 Nd.upf
Sb 121.76 Sb.upf
Pt 195.08 Pt.upf
ATOMIC_POSITIONS crystal
Nd 0.000 0.000 0.000
Sb 0.762 0.738 0.738
Sb 0.238 0.262 0.262
Pt 0.000 0.500 0.500
Pt 0.622 0.584 0.172
Pt 0.378 0.416 0.828
Pt 0.378 0.828 0.416
Pt 0.622 0.172 0.584
CELL_PARAMETERS angstrom
4.131 0.000 0.000
2.065 6.595 0.966
2.065 2.161 6.305

---

# 5
! PBE Nd2SbPt6, optimized geometry; values from VASP
! Formation energy from raw total energies ... -854 meV per atom
! D(E_F) ... 4.3 states/eV/f.u.
&SYSTEM
  ibrav = 0, nat = 9, ntyp = 3
/
ATOMIC_SPECIES
Nd 144.24 Nd.upf
Sb 121.76 Sb.upf
Pt 195.08 Pt.upf
ATOMIC_POSITIONS crystal
Nd 0.641 0.283 0.154
Nd 0.359 0.717 0.846
Sb 0.000 0.000 0.000
Pt 0.877 0.276 0.681
Pt 0.876 0.753 0.683
Pt 0.400 0.276 0.681
Pt 0.123 0.724 0.319
Pt 0.124 0.247 0.317
Pt 0.600 0.724 0.319
CELL_PARAMETERS angstrom
-4.825 -2.833 1.459
2.754 -1.306 -4.886
3.519 -5.051 1.829

---

# 6
! PBE Nd4SbPt, optimized geometry; values from VASP
! Formation energy from raw total energies ... -661 meV per atom
! D(E_F) ... 6.5 states/eV/f.u.
&SYSTEM
  ibrav = 0, nat = 12, ntyp = 3
/
ATOMIC_SPECIES
Nd 144.24 Nd.upf
Sb 121.76 Sb.upf
Pt 195.08 Pt.upf
ATOMIC_POSITIONS crystal
Nd 0.893 0.322 0.787
Nd 0.107 0.822 0.213
Nd 0.448 0.822 0.896
Nd 0.552 0.322 0.104
Nd 0.703 0.570 0.406
Nd 0.297 0.070 0.594
Nd 0.703 0.074 0.406
Nd 0.297 0.574 0.594
Sb 0.846 0.822 0.693
Sb 0.154 0.322 0.307
Pt 0.582 0.822 0.164
Pt 0.418 0.322 0.836
CELL_PARAMETERS angstrom
5.647 0.000 0.000
0.000 6.421 0.000
-2.823 0.000 10.488

---

# 7
! PBE Nd3SbPt, optimized geometry; values from VASP
! Formation energy from raw total energies ... -835 meV per atom
! D(E_F) ... 4.7 states/eV/f.u.
&SYSTEM
  ibrav = 0, nat = 10, ntyp = 3
/
ATOMIC_SPECIES
Nd 144.24 Nd.upf
Sb 121.76 Sb.upf
Pt 195.08 Pt.upf
ATOMIC_POSITIONS crystal
Nd 0.169 0.434 0.699
Nd 0.553 0.225 0.829
Nd 0.142 0.176 0.220
Nd 0.831 0.566 0.301
Nd 0.858 0.824 0.780
Nd 0.447 0.775 0.171
Sb 0.359 0.730 0.525
Sb 0.641 0.270 0.475
Pt 0.068 0.303 0.975
Pt 0.932 0.697 0.025
CELL_PARAMETERS angstrom
5.525 0.065 0.410
-2.700 7.223 -0.737
0.636 -3.934 8.037

---

# 8
! PBE Nd3Sb4Pt3, optimized geometry; values from VASP
! Formation energy from raw total energies ... -1032 meV per atom
! D(E_F) ... 8.4 states/eV/f.u.
&SYSTEM
  ibrav = 0, nat = 20, ntyp = 3
/
ATOMIC_SPECIES
Nd 144.24 Nd.upf
Sb 121.76 Sb.upf
Pt 195.08 Pt.upf
ATOMIC_POSITIONS crystal
Nd 0.625 0.750 0.875
Nd 0.875 0.250 0.625
Nd 0.125 0.375 0.250
Nd 0.375 0.125 0.750
Nd 0.250 0.875 0.125
Nd 0.750 0.625 0.375
Sb 0.000 0.000 0.339
Sb 0.500 0.339 0.500
Sb 0.661 0.161 0.161
Sb 0.000 0.000 0.839
Sb 0.839 0.500 0.000
Sb 0.500 0.839 0.500
Sb 0.339 0.500 0.000
Sb 0.161 0.661 0.661
Pt 0.125 0.750 0.375
Pt 0.375 0.250 0.125
Pt 0.625 0.875 0.250
Pt 0.875 0.625 0.750
Pt 0.250 0.375 0.625
Pt 0.750 0.125 0.875
CELL_PARAMETERS angstrom
-1.232 2.236 -8.252
-5.438 -6.374 2.099
-1.468 6.828 5.083

---

# 9
! PBE NdSbPt4, optimized geometry; values from VASP
! Formation energy from raw total energies ... -664 meV per atom
! D(E_F) ... 1.3 states/eV/f.u.
! Energy relative to the lowest polymorph listed for this composition ... 0 meV/atom
&SYSTEM
  ibrav = 0, nat = 6, ntyp = 3
/
ATOMIC_SPECIES
Sb 121.76 Sb.upf
Nd 144.24 Nd.upf
Pt 195.08 Pt.upf
ATOMIC_POSITIONS crystal
Sb 0.000 0.000 0.000
Nd 0.250 0.250 0.250
Pt 0.625 0.625 0.125
Pt 0.625 0.125 0.625
Pt 0.625 0.625 0.625
Pt 0.125 0.625 0.625
CELL_PARAMETERS angstrom
5.469 0.000 0.000
2.735 4.736 0.000
2.735 1.579 4.466

---

# 10
! PBE Nd8Sb2Pt3, optimized geometry; values from VASP
! Formation energy from raw total energies ... -745 meV per atom
! D(E_F) ... 12.5 states/eV/f.u.
&SYSTEM
  ibrav = 0, nat = 13, ntyp = 3
/
ATOMIC_SPECIES
Nd 144.24 Nd.upf
Sb 121.76 Sb.upf
Pt 195.08 Pt.upf
ATOMIC_POSITIONS crystal
Nd 0.876 0.594 0.188
Nd 0.124 0.406 0.812
Nd 0.906 0.101 0.203
Nd 0.094 0.899 0.797
Nd 0.598 0.645 0.782
Nd 0.598 0.137 0.782
Nd 0.402 0.863 0.218
Nd 0.402 0.355 0.218
Sb 0.335 0.254 0.508
Sb 0.665 0.746 0.492
Pt 0.500 0.000 0.000
Pt 0.000 0.253 0.000
Pt 0.000 0.747 0.000
CELL_PARAMETERS angstrom
7.152 0.000 0.277
0.000 8.335 0.000
-2.588 -4.167 7.657

---

# 11
! PBE Nd2ScSb3Pt4, optimized geometry; values from VASP
! Formation energy from raw total energies ... -958 meV per atom
! D(E_F) ... 3.6 states/eV/f.u.
&SYSTEM
  ibrav = 0, nat = 10, ntyp = 4
/
ATOMIC_SPECIES
Nd 144.24 Nd.upf
Sc 44.96 Sc.upf
Sb 121.76 Sb.upf
Pt 195.08 Pt.upf
ATOMIC_POSITIONS crystal
Nd 0.500 0.000 0.223
Nd 0.000 0.500 0.777
Sc 0.500 0.500 0.500
Sb 0.000 0.000 0.500
Sb 0.500 0.000 0.865
Sb 0.000 0.500 0.135
Pt 0.500 0.500 0.000
Pt 0.000 0.000 0.000
Pt 0.500 0.000 0.636
Pt 0.000 0.500 0.364
CELL_PARAMETERS angstrom
-1.425 -4.210 0.349
0.323 -0.476 -4.421
10.727 -3.534 1.165

---

# 12
! PBE Nd2Si3SbPt4, optimized geometry; values from VASP
! Formation energy from raw total energies ... -978 meV per atom
! D(E_F) ... 5.7 states/eV/f.u.
&SYSTEM
  ibrav = 0, nat = 10, ntyp = 4
/
ATOMIC_SPECIES
Nd 144.24 Nd.upf
Si 28.09 Si.upf
Sb 121.76 Sb.upf
Pt 195.08 Pt.upf
ATOMIC_POSITIONS crystal
Nd 0.500 0.000 0.239
Nd 0.000 0.500 0.761
Si 0.000 0.000 0.500
Si 0.500 0.000 0.877
Si 0.000 0.500 0.123
Sb 0.500 0.500 0.500
Pt 0.500 0.500 0.000
Pt 0.000 0.000 0.000
Pt 0.500 0.000 0.641
Pt 0.000 0.500 0.359
CELL_PARAMETERS angstrom
4.356 0.000 0.000
0.000 4.356 0.000
0.000 0.000 10.160